Model P:
DFT (PBE-GGA) results for a geometry-optimized Pr8Sm3Ho2 structure.

abc: 5.854 11.182 9.273
angles: 127.08 74.94 90.00
Sites, in units of the cell vectors:
1 Pr 0.738 0.423 0.846
2 Pr 0.262 0.577 0.154
3 Pr 0.122 0.837 0.675
4 Pr 0.878 0.163 0.325
5 Pr 0.335 0.941 0.341
6 Pr 0.335 0.399 0.341
7 Pr 0.665 0.601 0.659
8 Pr 0.665 0.059 0.659
9 Sm 0.500 0.000 0.000
10 Sm 0.000 0.252 0.000
11 Sm 0.000 0.748 0.000
12 Ho 0.694 0.672 0.344
13 Ho 0.306 0.328 0.656

Crystal system: monoclinic
Calculated volume (Å³/atom): 35.221
ρ (g/cm3): 6.920
Total magnetization (μB/cell): 0.0



Model Q:
DFT (PBE-GGA) results for a geometry-optimized Pr8Sm3Ho2 structure.

abc: 5.845 7.771 11.011
angles: 110.66 90.03 90.00
Sites, in units of the cell vectors:
1 Pr 0.001 0.675 0.350
2 Pr 0.999 0.325 0.650
3 Pr 0.999 0.133 0.267
4 Pr 0.001 0.867 0.733
5 Pr 0.500 0.600 0.786
6 Pr 0.500 0.186 0.786
7 Pr 0.500 0.814 0.214
8 Pr 0.500 0.400 0.214
9 Sm 0.500 0.000 0.000
10 Sm 0.000 0.286 0.000
11 Sm 0.000 0.714 0.000
12 Ho 0.499 0.241 0.481
13 Ho 0.501 0.759 0.519

Crystal system: monoclinic
Calculated volume (Å³/atom): 35.998
ρ (g/cm3): 6.771
Total magnetization (μB/cell): 0.0



Energies in meV/atom, measured from the most stable structure: model P 0; model Q 34.